Entry from the Open Quantum Materials Database: a geometry-optimized Ho2Ga9Co3 structure (GGA-PBE).

Lattice parameters (Å, degrees): 7.334 7.334 9.385 90.00 90.00 60.28
Fractional coordinates of all 28 atoms:
Ho1 0.003 0.668 0.750
Ho2 0.332 0.997 0.750
Ho3 0.668 0.003 0.250
Ho4 0.997 0.332 0.250
Ga1 0.000 0.334 0.572
Ga2 0.000 0.334 0.928
Ga3 0.000 0.666 0.072
Ga4 0.000 0.666 0.428
Ga5 0.121 0.879 0.250
Ga6 0.334 0.000 0.072
Ga7 0.334 0.000 0.428
Ga8 0.334 0.666 0.558
Ga9 0.334 0.666 0.942
Ga10 0.336 0.450 0.250
Ga11 0.450 0.336 0.750
Ga12 0.550 0.664 0.250
Ga13 0.664 0.550 0.750
Ga14 0.666 0.000 0.572
Ga15 0.666 0.000 0.928
Ga16 0.666 0.334 0.058
Ga17 0.666 0.334 0.442
Ga18 0.879 0.121 0.750
Co1 0.000 0.000 0.000
Co2 0.000 0.000 0.500
Co3 0.329 0.329 0.000
Co4 0.329 0.329 0.500
Co5 0.671 0.671 0.000
Co6 0.671 0.671 0.500

For the final energy, the calculation gives -4.608 eV per atom. As for the crystal system: orthorhombic. The size of the total moment is 0.0 μB per formula unit.